Computed, not measured: an optimized crystal structure of CaZr2PdW at the PBE level of DFT.

Computed properties:
Total energy in Ry per atom: -0.414
Spin magnetization in μB per cell: 0.8

Cell lengths 4.9610, 4.9610, 4.5226 Å; angles 90.00, 90.00, 90.00 degrees
Last column: nearest neighbours and their distance in Å.
Space group P4/mmm (No. 123)
Unique sites:
Ca (0.0000, 0.0000, 0.0000) (multiplicity 1)  2 Pd 2.26, 4 Zr 2.48
Zr (0.0000, 0.5000, 0.0000) (multiplicity 2)  2 Ca 2.48
Pd (0.0000, 0.0000, 0.5000) (multiplicity 1)  2 Ca 2.26
W (0.5000, 0.5000, 0.5000) (multiplicity 1)  8 Zr 3.36, 4 Pd 3.51

=====

Computed, not measured: an optimized crystal structure of Ce2PO at the PBE level of DFT.

Computed properties:
E above lowest polymorph in meV per atom: 0
Energy relative to the elements, uncorrected in kJ/mol of atoms: -203
Total energy in Ry per atom: -0.564
Spin magnetization in μB per cell: 2.1

Cell lengths 3.8021, 3.8021, 18.6688 Å; angles 90.00, 90.00, 120.00 degrees
Last column: nearest neighbours and their distance in Å.
Space group R-3m (No. 166, hexagonal axes)
Unique sites:
Ce (0.0000, 0.0000, 0.2397) (multiplicity 6)  3 O 2.58, 3 P 2.81
P (0.0000, 0.0000, 0.0000) (multiplicity 3)  6 Ce 2.81
O (0.0000, 0.0000, 0.5000) (multiplicity 3)  6 Ce 2.58

=====

Computed, not measured: an optimized crystal structure of Mn2Nb4Cr at the PBE level of DFT.

Computed properties:
Total energy in Ry per atom: -0.705
Spin magnetization in μB per cell: 0.0

Cell lengths 6.1002, 6.1002, 6.0711 Å; angles 90.00, 90.00, 90.00 degrees
Last column: nearest neighbours and their distance in Å.
Space group I4/mmm (No. 139)
Unique sites:
Mn (0.0000, 0.5000, 0.0000) (multiplicity 4)  8 Nb 2.64
Nb (0.2500, 0.2500, 0.2500) (multiplicity 8)  2 Cr 2.64, 4 Mn 2.64
Cr (0.0000, 0.0000, 0.0000) (multiplicity 2)  8 Nb 2.64

=====

Computed, not measured: an optimized crystal structure of TcBrF2 at the PBE level of DFT.

Computed properties:
E above lowest polymorph in meV per atom: 0
Energy relative to the elements, uncorrected in kJ/mol of atoms: -77
Total energy in Ry per atom: -0.349
Spin magnetization in μB per cell: 0.0

Cell lengths 2.8202, 2.8202, 31.0568 Å; angles 90.00, 90.00, 120.00 degrees
Last column: nearest neighbours and their distance in Å.
Space group R-3m (No. 166, hexagonal axes)
Unique sites:
Tc (0.0000, 0.0000, 0.0000) (multiplicity 3)  2 F 1.87
Br (0.0000, 0.0000, 0.5000) (multiplicity 3)  6 Br 2.82
F (0.0000, 0.0000, 0.0602) (multiplicity 6)  1 Tc 1.87